## NaFeRe2Sb (PBEsol)

Data for a relaxed structure of NaFeRe2Sb.

Summary:
VASP energy = -6.908 eV/atom

Cell and atoms, written as CIF:
```
data_NaFeRe2Sb
_symmetry_space_group_name_H-M 'P 4/m m m'
_symmetry_Int_Tables_number 123
_symmetry_space_group_name_Hall '-P 4 2'
_cell_length_a 4.4810
_cell_length_b 4.4810
_cell_length_c 4.7380
_cell_angle_alpha 90.00
_cell_angle_beta 90.00
_cell_angle_gamma 90.00
loop_
_atom_site_label
_atom_site_type_symbol
_atom_site_fract_x
_atom_site_fract_y
_atom_site_fract_z
_atom_site_occupancy
Na1 Na 0.0000 0.0000 0.0000 1
Fe1 Fe 0.5000 0.5000 0.5000 1
Re1 Re 0.0000 0.5000 0.5000 1
Sb1 Sb 0.5000 0.5000 0.0000 1
```

***

## Na2FeSiS4 (PBEsol)

Data for a relaxed structure of Na2FeSiS4.

Summary:
VASP energy = -5.162 eV/atom

Cell and atoms, written as CIF:
```
data_Na2FeSiS4
_symmetry_space_group_name_H-M 'I -4'
_symmetry_Int_Tables_number 82
_cell_length_a 6.2791
_cell_length_b 6.2791
_cell_length_c 8.6821
_cell_angle_alpha 90.00
_cell_angle_beta 90.00
_cell_angle_gamma 90.00
loop_
_symmetry_equiv_pos_as_xyz
'x,y,z'
'y,-x,-z'
'-x,-y,z'
'-y,x,-z'
'x+1/2,y+1/2,z+1/2'
'y+1/2,-x+1/2,-z+1/2'
'-x+1/2,-y+1/2,z+1/2'
'-y+1/2,x+1/2,-z+1/2'
loop_
_atom_site_label
_atom_site_type_symbol
_atom_site_fract_x
_atom_site_fract_y
_atom_site_fract_z
_atom_site_occupancy
Na1 Na 0.0000 0.0000 0.0000 1
Na2 Na 0.0000 0.5000 0.2500 1
Fe1 Fe 0.0000 0.0000 0.5000 1
Si1 Si 0.0000 0.5000 0.7500 1
S1 S 0.1744 0.7337 0.6217 1
```

***

## NaSc2Fe (PBEsol)

Data for a relaxed structure of NaSc2Fe.

Summary:
DFT formation energy = 246.2 meV per atom

Cell and atoms, written as CIF:
```
data_NaSc2Fe
_symmetry_space_group_name_H-M 'R -3 m'
_symmetry_Int_Tables_number 166
_symmetry_space_group_name_Hall '-R 3 2"'
_cell_length_a 3.2436
_cell_length_b 3.2436
_cell_length_c 29.8634
_cell_angle_alpha 90.00
_cell_angle_beta 90.00
_cell_angle_gamma 120.00
loop_
_atom_site_label
_atom_site_type_symbol
_atom_site_fract_x
_atom_site_fract_y
_atom_site_fract_z
_atom_site_occupancy
Na1 Na 0.0000 0.0000 0.0000 1
Sc1 Sc 0.0000 0.0000 0.1108 1
Fe1 Fe 0.0000 0.0000 0.5000 1
```

***

## NaFeSe3 (PBEsol)

Data for a relaxed structure of NaFeSe3.

Summary:
VASP energy = -4.540 eV/atom

Cell and atoms, written as CIF:
```
data_NaFeSe3
_symmetry_space_group_name_H-M 'P m -3 m'
_symmetry_Int_Tables_number 221
_symmetry_space_group_name_Hall '-P 4 2 3'
_cell_length_a 4.7801
_cell_length_b 4.7801
_cell_length_c 4.7801
_cell_angle_alpha 90.00
_cell_angle_beta 90.00
_cell_angle_gamma 90.00
loop_
_atom_site_label
_atom_site_type_symbol
_atom_site_fract_x
_atom_site_fract_y
_atom_site_fract_z
_atom_site_occupancy
Na1 Na 0.0000 0.0000 0.0000 1
Fe1 Fe 0.5000 0.5000 0.5000 1
Se1 Se 0.0000 0.5000 0.5000 1
```

***

What total moment values result from the calculations? In sequence: 0.00; 4.00; 0.67; 3.42 μB per formula unit.